(1)
# ScReSi3 (GGA-PBEsol, optimized geometry)
# Energy relative to the elements, uncorrected   2.004 eV/f.u.
# Fermi-level density of states   5.17 states/eV/cell
data_ScReSi3
_cell_length_a 4.623
_cell_length_b 4.623
_cell_length_c 4.623
_cell_angle_alpha 90.00
_cell_angle_beta 90.00
_cell_angle_gamma 90.00
_space_group_name_H-M_alt 'P 1'
_space_group_IT_number 1
_space_group_name_Hall 'P 1'
loop_
_atom_site_label
_atom_site_fract_x
_atom_site_fract_y
_atom_site_fract_z
Sc1 0.500 0.500 0.500
Re1 0.000 0.000 0.000
Si1 0.000 0.500 0.000
Si2 0.000 0.000 0.500
Si3 0.500 0.000 0.000

(2)
# LaTl2Pb (GGA-PBEsol, optimized geometry)
# Formation enthalpy at 0 K   -0.3665 eV per atom
# Fermi-level density of states   2.86 states/eV/cell
data_LaTl2Pb
_cell_length_a 4.694
_cell_length_b 4.694
_cell_length_c 6.086
_cell_angle_alpha 112.69
_cell_angle_beta 112.69
_cell_angle_gamma 90.00
_space_group_name_H-M_alt 'P 1'
_space_group_IT_number 1
_space_group_name_Hall 'P 1'
loop_
_atom_site_label
_atom_site_fract_x
_atom_site_fract_y
_atom_site_fract_z
Pb1 0.750 0.250 0.500
Tl1 0.000 0.000 0.000
Tl2 0.250 0.750 0.500
La1 0.500 0.500 0.000

(3)
# YSbTe2I (GGA-PBEsol, optimized geometry)
# Energy relative to the elements, uncorrected   -0.553 eV/f.u.
# Fermi-level density of states   4.12 states/eV/cell
data_YSbTe2I
_cell_length_a 5.617
_cell_length_b 5.805
_cell_length_c 5.805
_cell_angle_alpha 90.00
_cell_angle_beta 90.00
_cell_angle_gamma 90.00
_space_group_name_H-M_alt 'P 1'
_space_group_IT_number 1
_space_group_name_Hall 'P 1'
loop_
_atom_site_label
_atom_site_fract_x
_atom_site_fract_y
_atom_site_fract_z
I1 0.500 0.000 0.000
Sb1 0.500 0.500 0.500
Te1 0.000 0.000 0.500
Te2 0.000 0.500 0.000
Y1 0.000 0.000 0.000